Computed, not measured: FeCo3H2 after structural relaxation at the PBE level of DFT.

Calculated values
Size of the total moment = 12.82 Bohr magnetons per cell
Space group = C2/m (12)

Cell lengths 4.8791, 4.8791, 8.9168 Å; angles 117.16, 117.16, 30.56 degrees
With the nearest neighbours (Å) after each atom.
Sites, in units of the cell vectors:
1 Fe 0.1175 0.1175 0.2256  3 H 1.86
2 Fe 0.8825 0.8825 0.7744  3 H 1.86
3 Co 0.1188 0.1188 0.7257  3 H 1.85
4 Co 0.3782 0.3782 0.0226  3 H 1.82
5 Co 0.3809 0.3809 0.5231  3 H 1.83-1.84
6 Co 0.6191 0.6191 0.4769  3 H 1.83-1.84
7 Co 0.6218 0.6218 0.9774  3 H 1.82
8 Co 0.8812 0.8812 0.2743  3 H 1.85
9 H 0.2494 0.2494 0.6232  4 Co 1.83-1.85, 2 Fe 1.86
10 H 0.2501 0.2501 0.1237  5 Co 1.82-1.85, 1 Fe 1.86
11 H 0.7499 0.7499 0.8763  5 Co 1.82-1.85, 1 Fe 1.86
12 H 0.7506 0.7506 0.3768  4 Co 1.83-1.85, 2 Fe 1.86

=====

Computed, not measured: Fe3CoH after structural relaxation at the PBE level of DFT.

Calculated values
Size of the total moment = 8.92 Bohr magnetons per cell
Space group = Pm-3m (221)

Cell lengths 3.6431, 3.6431, 3.6431 Å; angles 90.00, 90.00, 90.00 degrees
With the nearest neighbours (Å) after each atom.
Sites, in units of the cell vectors:
1 Fe 0.0000 0.0000 0.5000  2 H 1.82
2 Fe 0.0000 0.5000 0.0000  2 H 1.82
3 Fe 0.5000 0.0000 0.0000  2 H 1.82
4 Co 0.5000 0.5000 0.5000  12 Fe 2.58
5 H 0.0000 0.0000 0.0000  6 Fe 1.82

=====

Computed, not measured: FeCo2H2 after structural relaxation at the PBE level of DFT.

Calculated values
Size of the total moment = 9.94 Bohr magnetons per cell
Space group = P4/mbm (127)

Cell lengths 5.3658, 5.3658, 2.7465 Å; angles 90.00, 90.00, 90.00 degrees
With the nearest neighbours (Å) after each atom.
Sites, in units of the cell vectors:
1 Fe 0.0000 0.0000 0.0000  4 H 1.94
2 Fe 0.5000 0.5000 0.0000  4 H 1.94
3 Co 0.1607 0.3393 0.5000  2 H 1.74
4 Co 0.3393 0.8393 0.5000  2 H 1.74
5 Co 0.6607 0.1607 0.5000  2 H 1.74
6 Co 0.8393 0.6607 0.5000  2 H 1.74
7 H 0.1986 0.6986 0.0000  2 Co 1.74, 2 Fe 1.94
8 H 0.3014 0.1986 0.0000  2 Co 1.74, 2 Fe 1.94
9 H 0.6986 0.8014 0.0000  2 Co 1.74, 2 Fe 1.94
10 H 0.8014 0.3014 0.0000  2 Co 1.74, 2 Fe 1.94

=====

Computed, not measured: FeCo5H6 after structural relaxation at the PBE level of DFT.

Calculated values
Size of the total moment = 8.05 Bohr magnetons per cell
Space group = C2/m (12)

Cell lengths 4.5477, 4.5477, 4.5347 Å; angles 99.53, 99.53, 120.25 degrees
With the nearest neighbours (Å) after each atom.
Sites, in units of the cell vectors:
1 Fe 0.0000 0.0000 0.0000  6 H 1.88-1.89
2 Co 0.1651 0.8349 0.5000  6 H 1.83-1.85
3 Co 0.3335 0.6665 0.0000  6 H 1.85
4 Co 0.5000 0.5000 0.5000  6 H 1.82-1.87
5 Co 0.6665 0.3335 0.0000  6 H 1.85
6 Co 0.8349 0.1651 0.5000  6 H 1.83-1.85
7 H 0.0829 0.4237 0.2528  5 Co 1.83-1.87, 1 Fe 1.89
8 H 0.2550 0.2550 0.7474  5 Co 1.82-1.85, 1 Fe 1.88
9 H 0.4237 0.0829 0.2528  5 Co 1.83-1.87, 1 Fe 1.89
10 H 0.5763 0.9171 0.7472  5 Co 1.83-1.87, 1 Fe 1.89
11 H 0.7450 0.7450 0.2526  5 Co 1.82-1.85, 1 Fe 1.88
12 H 0.9171 0.5763 0.7472  5 Co 1.83-1.87, 1 Fe 1.89

=====

Computed, not measured: FeCoH after structural relaxation at the PBE level of DFT.

Calculated values
Size of the total moment = 14.31 Bohr magnetons per cell
Space group = C2/m (12)

Cell lengths 9.5076, 2.5828, 4.4491 Å; angles 90.00, 117.88, 90.00 degrees
With the nearest neighbours (Å) after each atom.
Sites, in units of the cell vectors:
1 Fe 0.1147 0.0000 0.2829  3 H 1.87-1.88
2 Fe 0.3853 0.5000 0.7171  3 H 1.87-1.88
3 Fe 0.6147 0.5000 0.2829  3 H 1.87-1.88
4 Fe 0.8853 0.0000 0.7171  3 H 1.87-1.88
5 Co 0.1223 0.5000 0.7872  3 H 1.83
6 Co 0.3777 0.0000 0.2128  3 H 1.83
7 Co 0.6223 0.0000 0.7872  3 H 1.83
8 Co 0.8777 0.5000 0.2128  3 H 1.83
9 H 0.2501 0.0000 0.7531  3 Co 1.83, 3 Fe 1.87-1.88
10 H 0.2499 0.5000 0.2469  3 Co 1.83, 3 Fe 1.87-1.88
11 H 0.7499 0.0000 0.2469  3 Co 1.83, 3 Fe 1.87-1.88
12 H 0.7501 0.5000 0.7531  3 Co 1.83, 3 Fe 1.87-1.88

=====

Computed, not measured: FeCo4H after structural relaxation at the PBE level of DFT.

Calculated values
Size of the total moment = 17.14 Bohr magnetons per cell
Space group = C2/m (12)

Cell lengths 6.5407, 6.5407, 4.1179 Å; angles 108.09, 108.09, 44.90 degrees
With the nearest neighbours (Å) after each atom.
Sites, in units of the cell vectors:
1 Fe 0.1966 0.1966 0.1923  12 Co 2.42-2.58
2 Fe 0.8034 0.8034 0.8077  12 Co 2.42-2.58
3 Co 0.1260 0.6409 0.3806  1 H 1.80
4 Co 0.2289 0.7711 0.0000  2 H 1.81
5 Co 0.3129 0.3129 0.8152  1 H 1.76
6 Co 0.3591 0.8740 0.6194  1 H 1.80
7 Co 0.6409 0.1260 0.3806  1 H 1.80
8 Co 0.6871 0.6871 0.1848  1 H 1.76
9 Co 0.7711 0.2289 0.0000  2 H 1.81
10 Co 0.8740 0.3591 0.6194  1 H 1.80
11 H 0.4408 0.4408 0.7005  5 Co 1.76-1.81
12 H 0.5592 0.5592 0.2995  5 Co 1.76-1.81

=====

no.,electronic total energy (eV per atom),ρ (g cm⁻³)
1,-6.10,8.20
2,-7.10,7.81
3,-5.68,7.38
4,-5.35,7.75
5,-6.32,7.96
6,-6.59,8.30